1.
GGA-PBE TiTlCrCo2, relaxed; energy of formation from the pure elements = 1.0479 eV per atom; VASP energy = -5.771 eV per atom
1.0
4.3621 0.0000 0.0000
0.0000 4.3621 0.0000
0.0000 0.0000 4.5613
Ti Tl Cr Co
1 1 1 2
Cartesian
0.0000 0.0000 0.0000 Ti
2.1811 2.1811 2.2806 Tl
0.0000 0.0000 2.2806 Cr
0.0000 2.1811 0.0000 Co
2.1811 0.0000 0.0000 Co

2.
GGA-PBE Ca2SbAs, relaxed; VASP energy = -3.977 eV per atom
1.0
3.5524 0.0000 0.0000
0.0000 5.1376 0.0000
0.0000 0.0000 6.2684
Ca Sb As
2 1 1
Cartesian
0.0000 0.0000 0.0000 Ca
1.7762 2.5688 3.1342 Ca
0.0000 0.0000 3.1342 Sb
1.7762 2.5688 0.0000 As

3.
GGA-PBE MgTc2Pb, relaxed; energy of formation from the pure elements = 0.5742 eV per atom; distance to the lowest polymorph of the same formula = 452 meV per atom; VASP energy = -5.935 eV per atom
1.0
-1.6712 2.3115 4.5424
1.6712 -2.3115 4.5424
1.6712 2.3115 -4.5424
Mg Tc Pb
1 2 1
Cartesian
0.0000 0.0000 0.0000 Mg
1.6712 0.0000 2.2776 Tc
0.0000 2.3115 2.2648 Tc
0.0000 0.0000 4.5424 Pb

What is the VASP energy in the third record?
-5.935 eV per atom

What is the formula in the third record?
MgTc2Pb

VASP energy of number 3 (MgTc2Pb)?
-5.935 eV per atom